[1]
A relaxed Zn3As2 crystal, computed with GGA-PBE.

Cell: 11.8762 11.8762 23.9365 Å, 90.00 90.00 90.00°
Space group I4_1/acd (No. 142, origin choice 2)
Asymmetric unit:
Zn1 0.1131 0.1345 0.3214
Zn2 0.1135 0.1138 0.6965
Zn3 0.1201 0.1053 0.0620
As1 0.0000 0.2500 0.2530
As2 0.0055 0.0035 0.6265
As3 0.2456 0.0000 0.2500

Results
ΔH_f (0 K)   -0.143 eV per atom
Raw total energy   -2.767 eV/atom
Magnetic moment   0.00 Bohr magnetons per cell

***

[2]
A relaxed Zn3As2 crystal, computed with GGA-PBE.

Cell: 3.8594 3.8594 21.6358 Å, 90.00 90.00 120.00°
Space group R-3m (No. 166, hexagonal axes)
Asymmetric unit:
Zn1 0.0000 0.0000 0.0000
Zn2 0.0000 0.0000 0.2047
As1 0.0000 0.0000 0.4042

Results
ΔH_f (0 K)   0.081 eV per atom
Raw total energy   -2.543 eV/atom
Magnetic moment   0.00 Bohr magnetons per cell

***

[3]
A relaxed ZnAs crystal, computed with GGA-PBE.

Cell: 3.7964 11.0616 3.6035 Å, 90.00 90.00 90.00°
Space group Cmcm (No. 63)
Asymmetric unit:
Zn1 0.0000 0.1577 0.2500
As1 0.0000 0.4011 0.2500

Results
ΔH_f (0 K)   0.142 eV per atom
Raw total energy   -2.820 eV/atom
Magnetic moment   0.00 Bohr magnetons per cell

***

[4]
A relaxed ZnAs5 crystal, computed with GGA-PBE.

Cell: 3.8315 3.6792 17.0184 Å, 90.00 90.00 90.00°
Space group Amm2 (No. 38)
Asymmetric unit:
Zn1 0.0000 0.0000 0.0000
As1 0.0000 0.0000 0.3774
As2 0.0000 0.0000 0.6284
As3 0.5000 0.0000 0.1974
As4 0.5000 0.0000 0.5057
As5 0.5000 0.0000 0.8095

Results
ΔH_f (0 K)   0.270 eV per atom
Distance to the lowest polymorph of the same formula   135 meV/atom
Raw total energy   -3.816 eV/atom
Magnetic moment   0.00 Bohr magnetons per cell

***

[5]
A relaxed Zn3As crystal, computed with GGA-PBE.

Cell: 2.7190 3.8784 6.5177 Å, 90.00 90.10 90.00°
Space group P2/m (No. 10)
Asymmetric unit:
Zn1 0.0000 0.0000 0.0000
Zn2 0.5004 0.5000 0.2212
As1 0.5000 0.0000 0.5000

Results
ΔH_f (0 K)   0.095 eV per atom
Raw total energy   -2.023 eV/atom
Magnetic moment   0.00 Bohr magnetons per cell

***

[6]
A relaxed Zn3As crystal, computed with GGA-PBE.

Cell: 3.3635 12.0089 3.7863 Å, 90.00 90.00 90.00°
Space group Imm2 (No. 44)
Asymmetric unit:
Zn1 0.0000 0.0000 0.0000
Zn2 0.0000 0.2850 0.9979
As1 0.0000 0.5000 0.0000

Results
ΔH_f (0 K)   0.112 eV per atom
Raw total energy   -2.006 eV/atom
Magnetic moment   0.00 Bohr magnetons per cell